A plane-wave DFT calculation with PBE was carried out for a relaxed CoCu2As crystal.

Results
DFT formation energy (eV/atom): 0.328
Size of the total moment (μB/f.u.): 0.00
SG: No. 122
Mass density (Mg/m³): 7.9

a b c (Å): 6.8362 6.8362 5.3720
angles (deg): 50.49 50.49 90.00
Last column: nearest neighbours and their distance in Å.
Fractional positions:
Cu (0.3750, 0.3710, 0.7500)  2 Cu 2.34, 2 As 2.47, 2 Co 2.51
Cu (0.6290, 0.1250, 0.2500)  2 Cu 2.34, 2 As 2.47, 2 Co 2.51
Cu (0.1210, 0.6250, 0.2500)  2 Cu 2.34, 2 As 2.47, 2 Co 2.51
Cu (0.8750, 0.8790, 0.7500)  2 Cu 2.34, 2 As 2.47, 2 Co 2.51
As (0.0000, 0.0000, 0.0000)  2 Co 2.34, 4 Cu 2.47
As (0.7500, 0.2500, 0.5000)  2 Co 2.34, 4 Cu 2.47
Co (0.5000, 0.5000, 0.0000)  2 As 2.34, 4 Cu 2.51
Co (0.2500, 0.7500, 0.5000)  2 As 2.34, 4 Cu 2.51